Entry A
Compound: SiRhSe3
Source: the Alexandria database
Functional: PBE-GGA
Structure: optimized geometry

Results
SG = Pm-3m, No. 221
calculated volume = 23.143 Å³/atom
total magnetization = 0.0 μB/f.u.

Unit cell a=4.8730 b=4.8730 c=4.8730 alpha=90.00 beta=90.00 gamma=90.00
With the nearest neighbours (Å) after each atom.
Fractional positions:
Si1 0.0000 0.0000 0.0000  12 Se 3.45
Rh1 0.5000 0.5000 0.5000  6 Se 2.44
Se1 0.0000 0.5000 0.5000  2 Rh 2.44
Se2 0.5000 0.0000 0.5000  2 Rh 2.44
Se3 0.5000 0.5000 0.0000  2 Rh 2.44

=====

Entry B
Compound: SiRhSe3
Source: the Alexandria database
Functional: PBE-GGA
Structure: optimized geometry

Results
SG = Pm-3m, No. 221
calculated volume = 21.418 Å³/atom
total magnetization = 1.9 μB/f.u.

Unit cell a=4.7488 b=4.7488 c=4.7488 alpha=90.00 beta=90.00 gamma=90.00
With the nearest neighbours (Å) after each atom.
Fractional positions:
Si1 0.0000 0.0000 0.0000  6 Se 2.37
Rh1 0.5000 0.5000 0.5000  12 Se 3.36
Se1 0.0000 0.0000 0.5000  2 Si 2.37
Se2 0.0000 0.5000 0.0000  2 Si 2.37
Se3 0.5000 0.0000 0.0000  2 Si 2.37

=====

We find entry A to be the most stable, with the next structure 14.2 kJ/mol of atoms higher.

=====

Entry A
Compound: Si2Rh2Se
Source: the Alexandria database
Functional: PBE-GGA
Structure: optimized geometry

Results
SG = I4/mmm, No. 139
calculated volume = 16.103 Å³/atom
total magnetization = 0.0 μB/f.u.

Unit cell a=6.6126 b=6.6126 c=6.6126 alpha=148.09 beta=148.09 gamma=45.75
With the nearest neighbours (Å) after each atom.
Fractional positions:
Si1 0.2500 0.7500 0.5000  4 Rh 2.36, 4 Si 2.57
Si2 0.7500 0.2500 0.5000  4 Rh 2.36, 4 Si 2.57
Rh1 0.1271 0.1271 0.0000  4 Si 2.36
Rh2 0.8729 0.8729 0.0000  4 Si 2.36
Se1 0.5000 0.5000 0.0000  8 Rh 3.00

=====

Entry B
Compound: Si2Rh2Se
Source: the Alexandria database
Functional: PBE-GGA
Structure: optimized geometry

Results
SG = P4/mbm, No. 127
calculated volume = 14.765 Å³/atom
total magnetization = 0.0 μB/f.u.

Unit cell a=7.2860 b=7.2860 c=2.7814 alpha=90.00 beta=90.00 gamma=90.00
With the nearest neighbours (Å) after each atom.
Fractional positions:
Si1 0.1455 0.3545 0.0000  6 Rh 2.53-2.58, 2 Si 2.78
Si2 0.3545 0.8545 0.0000  6 Rh 2.53-2.58, 2 Si 2.78
Si3 0.6455 0.1455 0.0000  6 Rh 2.53-2.58, 2 Si 2.78
Si4 0.8545 0.6455 0.0000  6 Rh 2.53-2.58, 2 Si 2.78
Rh1 0.1438 0.6438 0.5000  6 Si 2.53-2.58, 2 Rh 2.78, 2 Se 2.80
Rh2 0.3562 0.1438 0.5000  6 Si 2.53-2.58, 2 Rh 2.78, 2 Se 2.80
Rh3 0.6438 0.8562 0.5000  6 Si 2.53-2.58, 2 Rh 2.78, 2 Se 2.80
Rh4 0.8562 0.3562 0.5000  6 Si 2.53-2.58, 2 Rh 2.78, 2 Se 2.80
Se1 0.0000 0.0000 0.5000  2 Se 2.78, 4 Rh 2.80
Se2 0.5000 0.5000 0.5000  2 Se 2.78, 4 Rh 2.80

=====

We find entry A to be the most stable, with the next structure 10.3 kJ/mol of atoms higher.

=====

Entry A
Compound: SnRh3Se
Source: the Alexandria database
Functional: PBE-GGA
Structure: optimized geometry

Results
SG = Pm-3m, No. 221
calculated volume = 19.605 Å³/atom
total magnetization = 0.0 μB/f.u.

Unit cell a=4.6108 b=4.6108 c=4.6108 alpha=90.00 beta=90.00 gamma=90.00
With the nearest neighbours (Å) after each atom.
Fractional positions:
Sn1 0.0000 0.0000 0.0000  12 Rh 3.26
Rh1 0.0000 0.5000 0.5000  2 Se 2.31
Rh2 0.5000 0.0000 0.5000  2 Se 2.31
Rh3 0.5000 0.5000 0.0000  2 Se 2.31
Se1 0.5000 0.5000 0.5000  6 Rh 2.31

=====

Entry B
Compound: SnRh3Se
Source: the Alexandria database
Functional: PBE-GGA
Structure: optimized geometry

Results
SG = Pm-3m, No. 221
calculated volume = 23.015 Å³/atom
total magnetization = 1.8 μB/f.u.

Unit cell a=4.8640 b=4.8640 c=4.8640 alpha=90.00 beta=90.00 gamma=90.00
With the nearest neighbours (Å) after each atom.
Fractional positions:
Sn1 0.0000 0.0000 0.0000  6 Rh 2.43
Rh1 0.0000 0.0000 0.5000  2 Sn 2.43
Rh2 0.0000 0.5000 0.0000  2 Sn 2.43
Rh3 0.5000 0.0000 0.0000  2 Sn 2.43
Se1 0.5000 0.5000 0.5000  12 Rh 3.44

=====

We find entry A to be the most stable, with the next structure 79.1 kJ/mol of atoms higher.

=====

Entry A
Compound: SrRhSe2
Source: the Alexandria database
Functional: PBE-GGA
Structure: optimized geometry

Results
SG = I-4m2, No. 119
calculated volume = 22.046 Å³/atom
total magnetization = 0.0 μB/f.u.

Unit cell a=5.9504 b=5.9504 c=5.9504 alpha=139.46 beta=139.46 gamma=58.68
With the nearest neighbours (Å) after each atom.
Fractional positions:
Sr1 0.0000 0.0000 0.0000  4 Se 2.92
Rh1 0.2500 0.7500 0.5000  4 Se 2.92
Se1 0.5000 0.5000 0.0000  4 Sr 2.92
Se2 0.7500 0.2500 0.5000  4 Rh 2.92

=====

Entry B
Compound: SrRhSe2
Source: the Alexandria database
Functional: PBE-GGA
Structure: optimized geometry

Results
SG = Fm-3m, No. 225
calculated volume = 21.538 Å³/atom
total magnetization = 1.2 μB/f.u.

Unit cell a=4.9575 b=4.9575 c=4.9575 alpha=60.00 beta=60.00 gamma=60.00
With the nearest neighbours (Å) after each atom.
Fractional positions:
Sr1 0.0000 0.0000 0.0000  8 Se 3.04
Rh1 0.5000 0.5000 0.5000  8 Se 3.04
Se1 0.2500 0.2500 0.2500  4 Rh 3.04, 4 Sr 3.04
Se2 0.7500 0.7500 0.7500  4 Sr 3.04, 4 Rh 3.04

=====

We find entry B to be the most stable, with the next structure 11.1 kJ/mol of atoms higher.

=====

Entry A
Compound: SrRhSe2
Source: the Alexandria database
Functional: PBE-GGA
Structure: optimized geometry

Results
SG = Imm2, No. 44
calculated volume = 22.934 Å³/atom
total magnetization = 0.0 μB/f.u.

Unit cell a=7.0415 b=7.0415 c=7.0415 alpha=150.08 beta=148.11 gamma=44.29
With the nearest neighbours (Å) after each atom.
Fractional positions:
Sr1 0.0000 0.0000 0.0000  6 Se 3.03-3.09
Rh1 0.2508 0.7508 0.5000  6 Se 2.54-2.79
Se1 0.3872 0.3872 0.0000  2 Rh 2.54
Se2 0.6842 0.1842 0.5000  4 Rh 2.79, 2 Sr 3.09

=====

Entry B
Compound: SrRhSe2
Source: the Alexandria database
Functional: PBE-GGA
Structure: optimized geometry

Results
SG = Amm2, No. 38
calculated volume = 26.300 Å³/atom
total magnetization = 0.0 μB/f.u.

Unit cell a=4.6429 b=5.7524 c=5.7524 alpha=43.21 beta=90.00 gamma=90.00
With the nearest neighbours (Å) after each atom.
Fractional positions:
Sr1 0.0000 0.0000 0.0000  7 Se 3.07-3.34, 2 Rh 3.30
Rh1 0.5000 0.7804 0.7804  4 Se 2.45
Se1 0.0000 0.7081 0.7081  2 Rh 2.45
Se2 0.5000 0.3956 0.3956  2 Rh 2.45

=====

Entry C
Compound: SrRhSe2
Source: the Alexandria database
Functional: PBE-GGA
Structure: optimized geometry

Results
SG = R-3m, No. 166
calculated volume = 22.742 Å³/atom
total magnetization = 0.3 μB/f.u.

Unit cell a=6.5126 b=6.5126 c=6.5126 alpha=37.31 beta=37.31 gamma=37.31
With the nearest neighbours (Å) after each atom.
Fractional positions:
Sr1 0.0000 0.0000 0.0000  6 Se 3.08
Rh1 0.5000 0.5000 0.5000  6 Se 2.64
Se1 0.2271 0.2271 0.2271  3 Rh 2.64
Se2 0.7729 0.7729 0.7729  3 Rh 2.64

=====

Entry D
Compound: SrRhSe2
Source: the Alexandria database
Functional: PBE-GGA
Structure: optimized geometry

Results
SG = P4mm, No. 99
calculated volume = 25.355 Å³/atom
total magnetization = 0.0 μB/f.u.

Unit cell a=3.4367 b=3.4367 c=8.5867 alpha=90.00 beta=90.00 gamma=90.00
With the nearest neighbours (Å) after each atom.
Fractional positions:
Sr1 0.0000 0.0000 0.0000  5 Se 3.06-3.29
Rh1 0.5000 0.5000 0.2899  4 Se 2.56
Se1 0.0000 0.0000 0.3831  4 Rh 2.56
Se2 0.5000 0.5000 0.7843  4 Sr 3.06

=====

We find entry B to be the most stable, with the next structure 0.7 kJ/mol of atoms higher.

=====

Entry A
Compound: SrRhSe2
Source: the Alexandria database
Functional: PBE-GGA
Structure: optimized geometry

Results
SG = R3m, No. 160
calculated volume = 22.990 Å³/atom
total magnetization = 0.0 μB/f.u.

Unit cell a=6.8377 b=6.8377 c=6.8377 alpha=34.60 beta=34.60 gamma=34.60
With the nearest neighbours (Å) after each atom.
Fractional positions:
Sr1 0.0000 0.0000 0.0000  6 Se 3.07-3.16, 1 Rh 3.37
Rh1 0.1750 0.1750 0.1750  6 Se 2.58-2.67
Se1 0.5644 0.5644 0.5644  3 Rh 2.58
Se2 0.7761 0.7761 0.7761  3 Rh 2.67

=====

Entry B
Compound: SrRhSe2
Source: the Alexandria database
Functional: PBE-GGA
Structure: optimized geometry

Results
SG = Cm, No. 8
calculated volume = 26.281 Å³/atom
total magnetization = 0.0 μB/f.u.

Unit cell a=6.0263 b=6.0263 c=4.5426 alpha=91.12 beta=91.12 gamma=39.60
With the nearest neighbours (Å) after each atom.
Fractional positions:
Sr1 0.0000 0.0000 0.0000  7 Se 3.08-3.41
Rh1 0.7505 0.7505 0.5474  3 Se 2.41
Se1 0.2681 0.2681 0.8270  2 Rh 2.41
Se2 0.5384 0.5384 0.5000  1 Rh 2.41

=====

Entry C
Compound: SrRhSe2
Source: the Alexandria database
Functional: PBE-GGA
Structure: optimized geometry

Results
SG = R-3m, No. 166
calculated volume = 27.793 Å³/atom
total magnetization = 0.4 μB/f.u.

Unit cell a=8.6855 b=8.6855 c=8.6855 alpha=26.03 beta=26.03 gamma=26.03
With the nearest neighbours (Å) after each atom.
Fractional positions:
Sr1 0.0000 0.0000 0.0000  2 Se 3.01
Rh1 0.5000 0.5000 0.5000  6 Se 2.55
Se1 0.1195 0.1195 0.1195  3 Rh 2.55
Se2 0.8805 0.8805 0.8805  3 Rh 2.55

=====

Entry D
Compound: SrRhSe2
Source: the Alexandria database
Functional: PBE-GGA
Structure: optimized geometry

Results
SG = P4mm, No. 99
calculated volume = 24.349 Å³/atom
total magnetization = 0.0 μB/f.u.

Unit cell a=3.9491 b=3.9491 c=6.2452 alpha=90.00 beta=90.00 gamma=90.00
With the nearest neighbours (Å) after each atom.
Fractional positions:
Sr1 0.0000 0.0000 0.0000  6 Se 2.93-3.25
Rh1 0.5000 0.5000 0.4654  1 Se 2.46
Se1 0.0000 0.0000 0.4791  4 Rh 2.79, 1 Sr 2.99
Se2 0.5000 0.5000 0.8596  1 Rh 2.46

=====

We find entry A to be the most stable, with the next structure 12.1 kJ/mol of atoms higher.

=====

Entry A
Compound: SrRhSe2
Source: the Alexandria database
Functional: PBE-GGA
Structure: optimized geometry

Results
SG = I-42d, No. 122
calculated volume = 29.879 Å³/atom
total magnetization = 0.0 μB/f.u.

Unit cell a=7.8395 b=7.8395 c=7.8395 alpha=134.78 beta=134.78 gamma=65.87
With the nearest neighbours (Å) after each atom.
Fractional positions:
Sr1 0.0000 0.0000 0.0000  4 Se 3.01
Sr2 0.7500 0.2500 0.5000  4 Se 3.01
Rh1 0.2500 0.7500 0.5000  4 Se 2.44
Rh2 0.5000 0.5000 0.0000  4 Se 2.44
Se1 0.2110 0.6250 0.0860  2 Rh 2.44
Se2 0.3750 0.4610 0.5860  2 Rh 2.44
Se3 0.5390 0.1250 0.9140  2 Rh 2.44
Se4 0.8750 0.7890 0.4140  2 Rh 2.44

=====

Entry B
Compound: SrRhSe2
Source: the Alexandria database
Functional: PBE-GGA
Structure: optimized geometry

Results
SG = R-3m, No. 166
calculated volume = 36.987 Å³/atom
total magnetization = 2.9 μB/f.u.

Unit cell a=8.2531 b=8.2531 c=8.2531 alpha=32.95 beta=32.95 gamma=32.95
With the nearest neighbours (Å) after each atom.
Fractional positions:
Sr1 0.0000 0.0000 0.0000  6 Se 3.11
Rh1 0.5000 0.5000 0.5000  2 Se 2.36
Se1 0.3993 0.3993 0.3993  1 Rh 2.36
Se2 0.6007 0.6007 0.6007  1 Rh 2.36

=====

We find entry A to be the most stable, with the next structure 41.5 kJ/mol of atoms higher.

=====

Entry A
Compound: SrRhSe2
Source: the Alexandria database
Functional: PBE-GGA
Structure: optimized geometry

Results
SG = F-43m, No. 216
calculated volume = 21.930 Å³/atom
total magnetization = 0.2 μB/f.u.

Unit cell a=4.9874 b=4.9874 c=4.9874 alpha=60.00 beta=60.00 gamma=60.00
With the nearest neighbours (Å) after each atom.
Fractional positions:
Sr1 0.0000 0.0000 0.0000  4 Se 3.05, 4 Rh 3.05
Rh1 0.7500 0.7500 0.7500  4 Se 3.05, 4 Sr 3.05
Se1 0.2500 0.2500 0.2500  4 Se 3.05, 4 Sr 3.05
Se2 0.5000 0.5000 0.5000  4 Se 3.05, 4 Rh 3.05

=====

Entry B
Compound: SrRhSe2
Source: the Alexandria database
Functional: PBE-GGA
Structure: optimized geometry

Results
SG = P4/mmm, No. 123
calculated volume = 21.501 Å³/atom
total magnetization = 0.8 μB/f.u.

Unit cell a=3.4836 b=3.4836 c=7.0869 alpha=90.00 beta=90.00 gamma=90.00
With the nearest neighbours (Å) after each atom.
Fractional positions:
Sr1 0.0000 0.0000 0.0000  8 Se 3.21, 4 Sr 3.48, 2 Rh 3.54
Rh1 0.0000 0.0000 0.5000  8 Se 2.88
Se1 0.5000 0.5000 0.2894  4 Rh 2.88, 1 Se 2.99, 4 Sr 3.21
Se2 0.5000 0.5000 0.7106  4 Rh 2.88, 1 Se 2.99, 4 Sr 3.21

=====

Entry C
Compound: SrRhSe2
Source: the Alexandria database
Functional: PBE-GGA
Structure: optimized geometry

Results
SG = P4/mmm, No. 123
calculated volume = 21.099 Å³/atom
total magnetization = 0.0 μB/f.u.

Unit cell a=4.9126 b=4.9126 c=3.4970 alpha=90.00 beta=90.00 gamma=90.00
With the nearest neighbours (Å) after each atom.
Fractional positions:
Sr1 0.0000 0.0000 0.0000  8 Se 3.02
Rh1 0.5000 0.5000 0.0000  8 Se 3.02
Se1 0.0000 0.5000 0.5000  4 Rh 3.02, 4 Sr 3.02
Se2 0.5000 0.0000 0.5000  4 Rh 3.02, 4 Sr 3.02

=====

Entry D
Compound: SrRhSe2
Source: the Alexandria database
Functional: PBE-GGA
Structure: optimized geometry

Results
SG = Cmmm, No. 65
calculated volume = 24.119 Å³/atom
total magnetization = 0.0 μB/f.u.

Unit cell a=5.0451 b=5.0451 c=3.8891 alpha=90.00 beta=90.00 gamma=102.94
With the nearest neighbours (Å) after each atom.
Fractional positions:
Sr1 0.0000 0.0000 0.0000  4 Se 3.10, 2 Rh 3.14
Rh1 0.5000 0.5000 0.0000  4 Se 2.47
Se1 0.3063 0.6937 0.5000  2 Rh 2.47
Se2 0.6937 0.3063 0.5000  2 Rh 2.47

=====

We find entry D to be the most stable, with the next structure 28.7 kJ/mol of atoms higher.